# 1
VASP calculation (PBE) on a geometry-optimized CePu2Sb structure. Values from VASP.

Results
* density of states at the Fermi level: 11.98 states/eV per cell
* E_form (uncorrected): -0.3590 eV per atom
* distance to the lowest polymorph of the same formula: 0.083 eV per atom

The structure in Quantum ESPRESSO input format:
```
&SYSTEM
  ibrav = 0, nat = 4, ntyp = 3
/
ATOMIC_SPECIES
Ce 140.12 Ce.upf
Pu 244.00 Pu.upf
Sb 121.76 Sb.upf
CELL_PARAMETERS angstrom
4.0760 0.0000 0.0000
0.0000 4.0760 0.0000
0.0000 0.0000 6.4838
ATOMIC_POSITIONS crystal
Ce 0.0000 0.0000 0.0000
Pu 0.5000 0.5000 0.2646
Pu 0.5000 0.5000 0.7354
Sb 0.0000 0.0000 0.5000
```



# 2
VASP calculation (PBE) on a geometry-optimized CePu2Sb structure. Values from VASP.

Results
* density of states at the Fermi level: 9.66 states/eV per cell
* E_form (uncorrected): -0.0431 eV per atom
* distance to the lowest polymorph of the same formula: 0.399 eV per atom

The structure in Quantum ESPRESSO input format:
```
&SYSTEM
  ibrav = 0, nat = 4, ntyp = 3
/
ATOMIC_SPECIES
Ce 140.12 Ce.upf
Pu 244.00 Pu.upf
Sb 121.76 Sb.upf
CELL_PARAMETERS angstrom
2.0907 1.2071 6.7368
-2.0907 1.2071 6.7368
0.0000 -2.4142 6.7368
ATOMIC_POSITIONS crystal
Ce 0.0000 0.0000 0.0000
Pu 0.2612 0.2612 0.2612
Pu 0.7388 0.7388 0.7388
Sb 0.5000 0.5000 0.5000
```



# 3
VASP calculation (PBE) on a geometry-optimized Ce3PuSb2 structure. Values from VASP.

Results
* density of states at the Fermi level: 13.13 states/eV per cell
* E_form (uncorrected): -0.3745 eV per atom
* distance to the lowest polymorph of the same formula: 0.011 eV per atom

The structure in Quantum ESPRESSO input format:
```
&SYSTEM
  ibrav = 0, nat = 6, ntyp = 3
/
ATOMIC_SPECIES
Ce 140.12 Ce.upf
Pu 244.00 Pu.upf
Sb 121.76 Sb.upf
CELL_PARAMETERS angstrom
3.3255 0.0000 0.0000
0.0000 5.1107 0.0000
0.0000 0.0000 8.8963
ATOMIC_POSITIONS crystal
Ce 0.0000 0.0000 0.0000
Ce 0.0000 0.0000 0.3394
Ce 0.0000 0.5000 0.8314
Pu 0.0000 0.5000 0.5019
Sb 0.5000 0.0000 0.6651
Sb 0.5000 0.5000 0.1713
```